VASP calculation (PBE-GGA) on an optimized crystal structure of Sm5S4O.

Properties
Formation energy (no corrections), eV/atom: -2.088
N(E_F), states/eV per atom: 0.4234
Volume, Å³ per atom: 21.5

Cell: 3.9401 3.9401 27.7532 Å, 90.00 90.00 90.00°
Space group I4/mmm (No. 139)
Asymmetric unit:
Sm1 0.0000 0.0000 0.0000 [2 per cell]
Sm2 0.0000 0.0000 0.2021 [4 per cell]
Sm3 0.0000 0.0000 0.4134 [4 per cell]
S1 0.0000 0.0000 0.0996 [4 per cell]
S2 0.0000 0.0000 0.3053 [4 per cell]
O1 0.0000 0.0000 0.5000 [2 per cell]